A plane-wave DFT calculation with PBE was carried out for a relaxed structure of IrRu3W3.

Summary:
VASP energy	-10.57	eV per atom
ΔE_f	227.4	meV/atom
total moment	0.0	μB/cell
N(E_F)	24.1	states/eV/cell

Unit cell a=7.612 b=7.612 c=7.612 alpha=90.00 beta=90.00 gamma=90.00
Atoms (fractional coordinates):
Ir 0.094 0.406 0.594
Ir 0.406 0.594 0.094
Ir 0.594 0.094 0.406
Ir 0.906 0.906 0.906
Ru 0.083 0.583 0.917
Ru 0.115 0.885 0.385
Ru 0.213 0.213 0.213
Ru 0.287 0.787 0.713
Ru 0.385 0.115 0.885
Ru 0.417 0.417 0.417
Ru 0.583 0.917 0.083
Ru 0.615 0.615 0.615
Ru 0.713 0.287 0.787
Ru 0.787 0.713 0.287
Ru 0.885 0.385 0.115
Ru 0.917 0.083 0.583
W 0.065 0.208 0.880
W 0.120 0.565 0.292
W 0.208 0.880 0.065
W 0.292 0.120 0.565
W 0.380 0.435 0.792
W 0.435 0.792 0.380
W 0.565 0.292 0.120
W 0.620 0.935 0.708
W 0.708 0.620 0.935
W 0.792 0.380 0.435
W 0.880 0.065 0.208
W 0.935 0.708 0.620


A plane-wave DFT calculation with PBE was carried out for a relaxed structure of CdCoTc2.

Summary:
VASP energy	-6.71	eV per atom
ΔE_f	481.3	meV/atom
total moment	0.9	μB/cell
N(E_F)	6.2	states/eV/cell

Unit cell a=3.715 b=3.715 c=4.281 alpha=90.00 beta=90.00 gamma=90.00
Atoms (fractional coordinates):
Cd 0.000 0.000 0.000
Co 0.500 0.500 0.000
Tc 0.000 0.500 0.500
Tc 0.500 0.000 0.500


A plane-wave DFT calculation with PBE was carried out for a relaxed structure of Li2La3Pt7.

Summary:
VASP energy	-6.03	eV per atom
ΔE_f	-957.6	meV/atom
total moment	0.0	μB/cell
N(E_F)	5.4	states/eV/cell

Unit cell a=9.182 b=9.182 c=9.182 alpha=34.98 beta=34.98 gamma=34.98
Atoms (fractional coordinates):
Li 0.165 0.165 0.165
Li 0.835 0.835 0.835
La 0.361 0.361 0.361
La 0.500 0.500 0.500
La 0.639 0.639 0.639
Pt 0.000 0.000 0.000
Pt 0.081 0.081 0.576
Pt 0.081 0.576 0.081
Pt 0.424 0.919 0.919
Pt 0.576 0.081 0.081
Pt 0.919 0.424 0.919
Pt 0.919 0.919 0.424


A plane-wave DFT calculation with PBE was carried out for a relaxed structure of MgPW.

Summary:
VASP energy	-6.42	eV per atom
ΔE_f	235.7	meV/atom
total moment	0.9	μB/cell
energy above the lowest structure with this stoichiometry	364	meV per atom
N(E_F)	15.7	states/eV/cell

Unit cell a=5.829 b=5.829 c=5.829 alpha=90.00 beta=90.00 gamma=90.00
Atoms (fractional coordinates):
Mg 0.000 0.000 0.000
Mg 0.000 0.500 0.500
Mg 0.500 0.000 0.500
Mg 0.500 0.500 0.000
P 0.250 0.250 0.750
P 0.250 0.750 0.250
P 0.750 0.250 0.250
P 0.750 0.750 0.750
W 0.000 0.000 0.500
W 0.000 0.500 0.000
W 0.500 0.000 0.000
W 0.500 0.500 0.500


A plane-wave DFT calculation with PBE was carried out for a relaxed structure of Al2TlW.

Summary:
VASP energy	-5.30	eV per atom
ΔE_f	404.9	meV/atom
total moment	0.0	μB/cell
energy above the lowest structure with this stoichiometry	120	meV per atom
N(E_F)	3.9	states/eV/cell

Unit cell a=10.075 b=2.896 c=4.959 alpha=90.00 beta=96.46 gamma=90.00
Atoms (fractional coordinates):
Al 0.000 0.000 0.000
Al 0.244 0.000 0.725
Al 0.500 0.500 0.000
Al 0.744 0.500 0.725
Tl 0.481 0.000 0.484
Tl 0.981 0.500 0.484
W 0.231 0.500 0.197
W 0.731 0.000 0.197


A plane-wave DFT calculation with PBE was carried out for a relaxed structure of Sr2AlNi.

Summary:
VASP energy	-3.14	eV per atom
ΔE_f	78.8	meV/atom
total moment	0.0	μB/cell
N(E_F)	2.8	states/eV/cell

Unit cell a=3.694 b=3.802 c=7.765 alpha=90.00 beta=90.18 gamma=90.00
Atoms (fractional coordinates):
Sr 0.001 0.000 0.271
Sr 0.999 0.000 0.729
Al 0.500 0.500 0.000
Ni 0.500 0.500 0.500


A plane-wave DFT calculation with PBE was carried out for a relaxed structure of Mn2NbIr2.

Summary:
VASP energy	-9.41	eV per atom
ΔE_f	-181.1	meV/atom
total moment	2.0	μB/cell
energy above the lowest structure with this stoichiometry	0	meV per atom
N(E_F)	11.8	states/eV/cell

Unit cell a=7.177 b=7.177 c=2.712 alpha=90.00 beta=90.00 gamma=90.00
Atoms (fractional coordinates):
Mn 0.117 0.383 0.000
Mn 0.383 0.883 0.000
Mn 0.617 0.117 0.000
Mn 0.883 0.617 0.000
Nb 0.000 0.000 0.000
Nb 0.500 0.500 0.000
Ir 0.176 0.676 0.500
Ir 0.324 0.176 0.500
Ir 0.676 0.824 0.500
Ir 0.824 0.324 0.500


A plane-wave DFT calculation with PBE was carried out for a relaxed structure of Cu3Ag2Au4.

Summary:
VASP energy	-3.46	eV per atom
ΔE_f	-4.6	meV/atom
total moment	0.0	μB/cell
N(E_F)	2.2	states/eV/cell

Unit cell a=4.034 b=4.908 c=8.474 alpha=73.24 beta=76.40 gamma=66.05
Atoms (fractional coordinates):
Cu 0.000 0.000 0.000
Cu 0.343 0.761 0.554
Cu 0.657 0.239 0.446
Ag 0.319 0.127 0.234
Ag 0.681 0.873 0.766
Au 0.020 0.306 0.658
Au 0.342 0.428 0.889
Au 0.658 0.572 0.111
Au 0.980 0.694 0.342


A plane-wave DFT calculation with PBE was carried out for a relaxed structure of Na2NpOsO8.

Summary:
VASP energy	-7.30	eV per atom
total moment	1.1	μB/cell
ΔE_f (raw)	-1765.3	meV per atom
N(E_F)	3.2	states/eV/cell

Unit cell a=5.161 b=6.398 c=5.171 alpha=90.00 beta=92.29 gamma=90.00
Atoms (fractional coordinates):
Na 0.000 0.240 0.000
Na 0.000 0.760 0.000
Np 0.500 0.500 0.500
Os 0.500 0.000 0.500
O 0.243 0.500 0.240
O 0.251 0.000 0.249
O 0.325 0.232 0.673
O 0.325 0.768 0.673
O 0.675 0.232 0.327
O 0.675 0.768 0.327
O 0.749 0.000 0.751
O 0.757 0.500 0.760


A plane-wave DFT calculation with PBE was carried out for a relaxed structure of KMg2AgF8.

Summary:
VASP energy	-4.33	eV per atom
total moment	0.4	μB/cell
ΔE_f (raw)	-2484.4	meV per atom
N(E_F)	5.4	states/eV/cell

Unit cell a=5.175 b=6.541 c=5.191 alpha=90.00 beta=93.67 gamma=90.00
Atoms (fractional coordinates):
K 0.000 0.000 0.000
Mg 0.500 0.254 0.500
Mg 0.500 0.746 0.500
Ag 0.000 0.500 0.000
F 0.188 0.293 0.230
F 0.188 0.707 0.230
F 0.345 0.500 0.684
F 0.353 0.000 0.673
F 0.647 0.000 0.327
F 0.655 0.500 0.316
F 0.812 0.293 0.770
F 0.812 0.707 0.770


A plane-wave DFT calculation with PBE was carried out for a relaxed structure of SmAl6Ga.

Summary:
VASP energy	-3.69	eV per atom
ΔE_f	84.9	meV/atom
total moment	0.0	μB/cell
N(E_F)	7.0	states/eV/cell

Unit cell a=7.790 b=8.461 c=5.656 alpha=90.00 beta=90.08 gamma=90.00
Atoms (fractional coordinates):
Sm 0.000 0.000 0.000
Sm 0.500 0.500 0.000
Al 0.165 0.000 0.501
Al 0.246 0.252 0.761
Al 0.246 0.748 0.761
Al 0.254 0.248 0.239
Al 0.254 0.752 0.239
Al 0.335 0.500 0.499
Al 0.665 0.500 0.501
Al 0.746 0.248 0.761
Al 0.746 0.752 0.761
Al 0.754 0.252 0.239
Al 0.754 0.748 0.239
Al 0.835 0.000 0.499
Ga 0.000 0.500 0.500
Ga 0.500 0.000 0.500


A plane-wave DFT calculation with PBE was carried out for a relaxed structure of SrLiCdBi2.

Summary:
VASP energy	-2.94	eV per atom
ΔE_f	-489.1	meV/atom
total moment	0.0	μB/cell
N(E_F)	3.8	states/eV/cell

Unit cell a=4.586 b=4.586 c=14.368 alpha=90.00 beta=90.00 gamma=90.00
Atoms (fractional coordinates):
Sr 0.000 0.000 0.000
Sr 0.500 0.500 0.500
Li 0.000 0.500 0.250
Li 0.500 0.000 0.750
Cd 0.000 0.500 0.750
Cd 0.500 0.000 0.250
Bi 0.000 0.000 0.384
Bi 0.000 0.000 0.616
Bi 0.500 0.500 0.116
Bi 0.500 0.500 0.884


Please write out number 6 again, unchanged.
A plane-wave DFT calculation with PBE was carried out for a relaxed structure of Sr2AlNi.

Summary:
VASP energy	-3.14	eV per atom
ΔE_f	78.8	meV/atom
total moment	0.0	μB/cell
N(E_F)	2.8	states/eV/cell

Unit cell a=3.694 b=3.802 c=7.765 alpha=90.00 beta=90.18 gamma=90.00
Atoms (fractional coordinates):
Sr 0.001 0.000 0.271
Sr 0.999 0.000 0.729
Al 0.500 0.500 0.000
Ni 0.500 0.500 0.500


What did the third record say?
A plane-wave DFT calculation with PBE was carried out for a relaxed structure of Li2La3Pt7.

Summary:
VASP energy	-6.03	eV per atom
ΔE_f	-957.6	meV/atom
total moment	0.0	μB/cell
N(E_F)	5.4	states/eV/cell

Unit cell a=9.182 b=9.182 c=9.182 alpha=34.98 beta=34.98 gamma=34.98
Atoms (fractional coordinates):
Li 0.165 0.165 0.165
Li 0.835 0.835 0.835
La 0.361 0.361 0.361
La 0.500 0.500 0.500
La 0.639 0.639 0.639
Pt 0.000 0.000 0.000
Pt 0.081 0.081 0.576
Pt 0.081 0.576 0.081
Pt 0.424 0.919 0.919
Pt 0.576 0.081 0.081
Pt 0.919 0.424 0.919
Pt 0.919 0.919 0.424


> Which of these has the highest N(E_F)?

IrRu3W3